Record 1
Density functional theory data (PBE) for a relaxed structure of Ca4AgBi3.

Properties
Energy: -3.48 eV per atom
Space group: I4/mcm
Formation energy from the elements: -663 meV per atom

abc: 9.2314 9.2314 9.2314
angles: 97.06 97.06 138.95
Atoms (fractional coordinates):
Ca1 0.0777 0.7782 0.8559
Ca2 0.2218 0.0777 0.2995
Ca3 0.2782 0.5777 0.8559
Ca4 0.4223 0.2782 0.7005
Ca5 0.5777 0.7218 0.2995
Ca6 0.7218 0.4223 0.1441
Ca7 0.7782 0.9223 0.7005
Ca8 0.9223 0.2218 0.1441
Ag1 0.2500 0.7500 0.5000
Ag2 0.7500 0.2500 0.5000
Bi1 0.1572 0.3428 0.5000
Bi2 0.2500 0.2500 0.0000
Bi3 0.3428 0.8428 0.1855
Bi4 0.6572 0.1572 0.8145
Bi5 0.7500 0.7500 0.0000
Bi6 0.8428 0.6572 0.5000

=====

Record 2
Density functional theory data (PBE) for a relaxed structure of GeBi2B.

Properties
Energy: -3.76 eV per atom
Energy above the most stable polymorph in this dataset: 352 meV/atom
Space group: Fm-3m
Formation energy from the elements: 999 meV per atom

abc: 5.0336 5.0336 5.0336
angles: 60.00 60.00 60.00
Atoms (fractional coordinates):
Ge1 0.0000 0.0000 0.0000
Bi1 0.2500 0.2500 0.2500
Bi2 0.7500 0.7500 0.7500
B1 0.5000 0.5000 0.5000

=====

Record 3
Density functional theory data (PBE) for a relaxed structure of AcSn12Rh4.

Properties
Energy: -5.14 eV per atom
Space group: Im-3
Formation energy from the elements: -344 meV per atom

abc: 8.2083 8.2083 8.2083
angles: 109.47 109.47 109.47
Atoms (fractional coordinates):
Ac1 0.0000 0.0000 0.0000
Sn1 0.1638 0.5056 0.3418
Sn2 0.1638 0.8221 0.6582
Sn3 0.1779 0.3418 0.8362
Sn4 0.3418 0.1638 0.5056
Sn5 0.3418 0.8362 0.1779
Sn6 0.4944 0.6582 0.8362
Sn7 0.5056 0.3418 0.1638
Sn8 0.6582 0.1638 0.8221
Sn9 0.6582 0.8362 0.4944
Sn10 0.8221 0.6582 0.1638
Sn11 0.8362 0.1779 0.3418
Sn12 0.8362 0.4944 0.6582
Rh1 0.0000 0.0000 0.5000
Rh2 0.0000 0.5000 0.0000
Rh3 0.5000 0.0000 0.0000
Rh4 0.5000 0.5000 0.5000

=====

Record 4
Density functional theory data (PBE) for a relaxed structure of Rb2ThInS5.

Properties
Energy: -4.79 eV per atom
Formation energy without anion corrections: -10.3 eV per formula unit
Space group: Cmc2_1

abc: 10.0778 10.0778 14.5740
angles: 90.00 90.00 156.43
Atoms (fractional coordinates):
Rb1 0.1132 0.8868 0.5000
Rb2 0.1375 0.8625 0.1384
Rb3 0.8625 0.1375 0.6384
Rb4 0.8868 0.1132 0.0000
Th1 0.2043 0.7957 0.8445
Th2 0.7957 0.2043 0.3445
In1 0.4440 0.5560 0.2519
In2 0.5560 0.4440 0.7519
S1 0.0528 0.9472 0.8535
S2 0.2951 0.7049 0.4682
S3 0.3163 0.6837 0.2120
S4 0.3406 0.6594 0.8257
S5 0.4977 0.5023 0.6072
S6 0.5023 0.4977 0.1072
S7 0.6594 0.3406 0.3257
S8 0.6837 0.3163 0.7120
S9 0.7049 0.2951 0.9682
S10 0.9472 0.0528 0.3535

=====

Record 5
Density functional theory data (PBE) for a relaxed structure of LaPrAg.

Properties
Energy: -4.33 eV per atom
Energy above the most stable polymorph in this dataset: 4 meV/atom
Space group: Pnma
Formation energy from the elements: -144 meV per atom

abc: 7.6176 3.8128 12.7076
angles: 90.00 90.00 90.00
Atoms (fractional coordinates):
La1 0.1273 0.2500 0.1005
La2 0.3727 0.7500 0.6005
La3 0.6273 0.2500 0.3995
La4 0.8727 0.7500 0.8995
Pr1 0.1227 0.2500 0.3960
Pr2 0.3773 0.7500 0.8960
Pr3 0.6227 0.2500 0.1040
Pr4 0.8773 0.7500 0.6040
Ag1 0.1250 0.2500 0.7527
Ag2 0.3750 0.7500 0.2527
Ag3 0.6250 0.2500 0.7473
Ag4 0.8750 0.7500 0.2473

=====

Record 6
Density functional theory data (PBE) for a relaxed structure of Te2PbCl.

Properties
Energy: -2.94 eV per atom
Formation energy without anion corrections: 0.1 eV per formula unit
Energy above the most stable polymorph in this dataset: 414 meV/atom
Space group: R-3m

abc: 7.8472 7.8472 7.8472
angles: 32.92 32.92 32.92
Atoms (fractional coordinates):
Te1 0.2461 0.2461 0.2461
Te2 0.7539 0.7539 0.7539
Pb1 0.5000 0.5000 0.5000
Cl1 0.0000 0.0000 0.0000

=====

Record 7
Density functional theory data (PBE) for a relaxed structure of BeSiSnBr2.

Properties
Energy: -2.59 eV per atom
Formation energy without anion corrections: 3.6 eV per formula unit
Space group: P4/mmm

abc: 5.7461 5.7461 4.6933
angles: 90.00 90.00 90.00
Atoms (fractional coordinates):
Be1 0.0000 0.0000 0.0000
Si1 0.5000 0.5000 0.0000
Sn1 0.0000 0.0000 0.5000
Br1 0.0000 0.5000 0.5000
Br2 0.5000 0.0000 0.5000

=====

Record 8
Density functional theory data (PBE) for a relaxed structure of CsSr2Zr.

Properties
Energy: -2.42 eV per atom
Space group: Fm-3m
Formation energy from the elements: 774 meV per atom

abc: 6.4009 6.4009 6.4009
angles: 60.00 60.00 60.00
Atoms (fractional coordinates):
Cs1 0.0000 0.0000 0.0000
Sr1 0.2500 0.2500 0.2500
Sr2 0.7500 0.7500 0.7500
Zr1 0.5000 0.5000 0.5000

=====

Record 9
Density functional theory data (PBE) for a relaxed structure of MnReTe2.

Properties
Energy: -6.76 eV per atom
Formation energy without anion corrections: 0.9 eV per formula unit
Energy above the most stable polymorph in this dataset: 130 meV/atom
Space group: Cm

abc: 4.0324 4.0324 7.0632
angles: 106.50 106.50 59.99
Atoms (fractional coordinates):
Mn1 0.0000 0.0000 0.0000
Re1 0.3058 0.3058 0.9173
Te1 0.5587 0.5587 0.6749
Te2 0.7356 0.7356 0.2075

=====

Record 10
Density functional theory data (PBE) for a relaxed structure of Nb12CrMo6.

Properties
Energy: -10.13 eV per atom
Space group: R-3
Formation energy from the elements: 161 meV per atom

abc: 6.9757 6.9757 6.9757
angles: 88.34 88.34 88.34
Atoms (fractional coordinates):
Nb1 0.0188 0.3141 0.9184
Nb2 0.0816 0.9812 0.6859
Nb3 0.1194 0.3587 0.4380
Nb4 0.3141 0.9184 0.0188
Nb5 0.3587 0.4380 0.1194
Nb6 0.4380 0.1194 0.3587
Nb7 0.5620 0.8806 0.6413
Nb8 0.6413 0.5620 0.8806
Nb9 0.6859 0.0816 0.9812
Nb10 0.8806 0.6413 0.5620
Nb11 0.9184 0.0188 0.3141
Nb12 0.9812 0.6859 0.0816
Cr1 0.5000 0.5000 0.5000
Mo1 0.2454 0.7525 0.3840
Mo2 0.2475 0.6160 0.7546
Mo3 0.3840 0.2454 0.7525
Mo4 0.6160 0.7546 0.2475
Mo5 0.7525 0.3840 0.2454
Mo6 0.7546 0.2475 0.6160

=====

Record 11
Density functional theory data (PBE) for a relaxed structure of Ta3Be2Rh5.

Properties
Energy: -8.52 eV per atom
Space group: P4/mbm
Formation energy from the elements: -543 meV per atom

abc: 9.0834 9.0834 3.4090
angles: 90.00 90.00 90.00
Atoms (fractional coordinates):
Ta1 0.0000 0.0000 0.0000
Ta2 0.1742 0.3258 0.0000
Ta3 0.3258 0.8258 0.0000
Ta4 0.5000 0.5000 0.0000
Ta5 0.6742 0.1742 0.0000
Ta6 0.8258 0.6742 0.0000
Be1 0.1202 0.6202 0.0000
Be2 0.3798 0.1202 0.0000
Be3 0.6202 0.8798 0.0000
Be4 0.8798 0.3798 0.0000
Rh1 0.0000 0.5000 0.5000
Rh2 0.0723 0.7892 0.5000
Rh3 0.2108 0.0723 0.5000
Rh4 0.2892 0.5723 0.5000
Rh5 0.4277 0.2892 0.5000
Rh6 0.5000 0.0000 0.5000
Rh7 0.5723 0.7108 0.5000
Rh8 0.7108 0.4277 0.5000
Rh9 0.7892 0.9277 0.5000
Rh10 0.9277 0.2108 0.5000

=====

Record 12
Density functional theory data (PBE) for a relaxed structure of La3In2Hg.

Properties
Energy: -3.94 eV per atom
Space group: P4/mmm
Formation energy from the elements: -508 meV per atom

abc: 3.8396 3.8396 12.4329
angles: 90.00 90.00 90.00
Atoms (fractional coordinates):
La1 0.0000 0.0000 0.0000
La2 0.0000 0.0000 0.3362
La3 0.0000 0.0000 0.6638
In1 0.5000 0.5000 0.1706
In2 0.5000 0.5000 0.8294
Hg1 0.5000 0.5000 0.5000